Entry 1:
Computed, not measured: a relaxed structure of CaPrCu10 at the PBE level of DFT.

The structure in CIF format:
```
data_CaPrCu10
_cell_length_a 4.070
_cell_length_b 5.152
_cell_length_c 8.861
_cell_angle_alpha 90.00
_cell_angle_beta 90.00
_cell_angle_gamma 90.00
_space_group_name_H-M_alt 'P 1'
_space_group_IT_number 1
loop_
_space_group_symop_operation_xyz
'x,y,z'
loop_
_atom_site_label
_atom_site_type_symbol
_atom_site_fract_x
_atom_site_fract_y
_atom_site_fract_z
Ca1 Ca 0.000 0.000 0.000
Pr1 Pr 0.000 0.500 0.500
Cu1 Cu 0.000 0.000 0.331
Cu2 Cu 0.000 0.500 0.837
Cu3 Cu 0.000 0.500 0.163
Cu4 Cu 0.000 0.000 0.669
Cu5 Cu 0.500 0.000 0.500
Cu6 Cu 0.500 0.500 0.000
Cu7 Cu 0.500 0.251 0.250
Cu8 Cu 0.500 0.749 0.750
Cu9 Cu 0.500 0.749 0.250
Cu10 Cu 0.500 0.251 0.750
```

Results
formation enthalpy at 0 K	-0.14	eV per atom
total energy	-4.118	eV per atom
calculated density	7.30	g cm⁻³

=====

Entry 2:
Computed, not measured: a relaxed structure of CaPr2Cu2 at the PBE level of DFT.

The structure in CIF format:
```
data_CaPr2Cu2
_cell_length_a 3.915
_cell_length_b 8.234
_cell_length_c 8.234
_cell_angle_alpha 90.00
_cell_angle_beta 90.00
_cell_angle_gamma 90.00
_space_group_name_H-M_alt 'P 1'
_space_group_IT_number 1
loop_
_space_group_symop_operation_xyz
'x,y,z'
loop_
_atom_site_label
_atom_site_type_symbol
_atom_site_fract_x
_atom_site_fract_y
_atom_site_fract_z
Ca1 Ca 0.000 0.000 0.000
Ca2 Ca 0.000 0.500 0.500
Pr1 Pr 0.500 0.159 0.659
Pr2 Pr 0.500 0.659 0.841
Pr3 Pr 0.500 0.841 0.341
Pr4 Pr 0.500 0.341 0.159
Cu1 Cu 0.000 0.380 0.880
Cu2 Cu 0.000 0.880 0.620
Cu3 Cu 0.000 0.620 0.120
Cu4 Cu 0.000 0.120 0.380
```

Results
formation enthalpy at 0 K	-0.10	eV per atom
total energy	-4.047	eV per atom
calculated density	5.62	g cm⁻³
energy above the lowest structure with this stoichiometry	0.00	eV per formula unit